A geometry-optimized La4Ge2C structure, computed with PBE-GGA.

Cell and atoms, written as POSCAR:
```
La4Ge2C
1.0
-2.507 2.507 8.059
2.507 -2.507 8.059
2.507 2.507 -8.059
La Ge C
4 2 1
Direct
0.000 0.500 0.500 La
0.172 0.172 0.000 La
0.500 0.000 0.500 La
0.828 0.828 0.000 La
0.364 0.364 0.000 Ge
0.636 0.636 0.000 Ge
0.000 0.000 0.000 C
```

Values from the calculation:
Its total magnetic moment is 0.0 μB/cell. Its symmetry is No. 139. For the final energy, the calculation gives -5.94 eV/atom.